# 1
ScBe3Au3: relaxed, PBE. Values from VASP.

The structure in Quantum ESPRESSO input format:
```
&SYSTEM
  ibrav = 0, nat = 14, ntyp = 3
/
ATOMIC_SPECIES
Be 9.01 Be.upf
Sc 44.96 Sc.upf
Au 196.97 Au.upf
CELL_PARAMETERS angstrom
-3.798 -4.259 2.649
5.015 -3.183 2.073
-0.063 3.363 5.316
ATOMIC_POSITIONS crystal
Be 0.500 0.000 0.750
Be 0.000 0.250 0.500
Be 0.750 0.500 0.000
Be 0.250 0.500 0.000
Be 0.000 0.750 0.500
Be 0.500 0.000 0.250
Sc 0.000 0.000 0.000
Sc 0.500 0.500 0.500
Au 0.250 0.000 0.500
Au 0.500 0.250 0.000
Au 0.000 0.500 0.750
Au 0.750 0.000 0.500
Au 0.500 0.750 0.000
Au 0.000 0.500 0.250
```

Properties
The formation energy is 0.061 eV/atom. As for the total energy: -0.141 hartree per atom.

=====

# 2
Ac3BiS2: relaxed, PBE. Values from VASP.

The structure in Quantum ESPRESSO input format:
```
&SYSTEM
  ibrav = 0, nat = 12, ntyp = 3
/
ATOMIC_SPECIES
Ac 227.00 Ac.upf
S 32.06 S.upf
Bi 208.98 Bi.upf
CELL_PARAMETERS angstrom
4.739 0.000 0.000
-2.370 7.551 0.000
0.000 0.000 11.288
ATOMIC_POSITIONS crystal
Ac 0.641 0.282 0.444
Ac 0.641 0.282 0.056
Ac 0.359 0.718 0.556
Ac 0.085 0.171 0.750
Ac 0.359 0.718 0.944
Ac 0.915 0.829 0.250
S 0.482 0.963 0.750
S 0.518 0.037 0.250
S 0.000 0.000 0.000
S 0.000 0.000 0.500
Bi 0.755 0.509 0.750
Bi 0.245 0.491 0.250
```

Properties
The calculation puts the uncorrected formation energy at -850 kJ/mol of formula units. As for the total energy: -0.204 hartree per atom.

=====

# 3
AgHg6S8: relaxed, PBE. Values from VASP.

The structure in Quantum ESPRESSO input format:
```
&SYSTEM
  ibrav = 0, nat = 15, ntyp = 3
/
ATOMIC_SPECIES
S 32.06 S.upf
Hg 200.59 Hg.upf
Ag 107.87 Ag.upf
CELL_PARAMETERS angstrom
-0.362 5.845 4.373
-6.781 -2.305 1.459
3.213 -4.303 4.958
ATOMIC_POSITIONS crystal
S 0.229 0.560 0.829
S 0.440 0.171 0.771
S 0.829 0.229 0.560
S 0.771 0.440 0.171
S 0.788 0.788 0.788
S 0.212 0.212 0.212
S 0.560 0.829 0.229
S 0.171 0.771 0.440
Hg 0.836 0.800 0.436
Hg 0.800 0.436 0.836
Hg 0.564 0.164 0.200
Hg 0.436 0.836 0.800
Hg 0.164 0.200 0.564
Hg 0.200 0.564 0.164
Ag 0.000 0.000 0.000
```

Properties
The calculation puts the uncorrected formation energy at 242 kJ/mol of formula units. As for the total energy: -0.086 hartree per atom.

=====

> Which of these has the highest total energy?

AgHg6S8